# 1
First-principles (PBE-GGA) data for an optimized crystal structure of Pu2Ga3AgAu4, as listed in the Alexandria database.

Summary:
Calculated formation energy (meV/atom): -336
Density of states at the Fermi level (states/eV/f.u.): 28.12

Geometry as CIF:
```
data_Pu2Ga3AgAu4
_chemical_formula_sum 'Pu2 Ga3 Ag1 Au4'
_cell_length_a 4.2550
_cell_length_b 4.2550
_cell_length_c 11.6262
_cell_angle_alpha 90.00
_cell_angle_beta 90.00
_cell_angle_gamma 90.00
_space_group_name_H-M_alt 'P -4 m 2'
_space_group_IT_number 115
_space_group_name_Hall 'P -4 -2'
loop_
_atom_site_label
_atom_site_fract_x
_atom_site_fract_y
_atom_site_fract_z
Pu1 0.0000 0.5000 0.2437
Ga1 0.0000 0.5000 0.8689
Ga2 0.5000 0.5000 0.5000
Ag1 0.0000 0.0000 0.5000
Au1 0.0000 0.0000 0.0000
Au2 0.0000 0.5000 0.6522
Au3 0.5000 0.5000 0.0000
```


# 2
First-principles (PBE-GGA) data for an optimized crystal structure of CuNi2Pd3, as listed in the Alexandria database.

Summary:
Calculated formation energy (meV/atom): -4
Density of states at the Fermi level (states/eV/f.u.): 8.41

Geometry as CIF:
```
data_CuNi2Pd3
_chemical_formula_sum 'Cu1 Ni2 Pd3'
_cell_length_a 2.7277
_cell_length_b 2.7277
_cell_length_c 10.8562
_cell_angle_alpha 90.00
_cell_angle_beta 90.00
_cell_angle_gamma 90.00
_space_group_name_H-M_alt 'P 4/m m m'
_space_group_IT_number 123
_space_group_name_Hall '-P 4 2'
loop_
_atom_site_label
_atom_site_fract_x
_atom_site_fract_y
_atom_site_fract_z
Cu1 0.0000 0.0000 0.0000
Ni1 0.0000 0.0000 0.3353
Pd1 0.5000 0.5000 0.1701
Pd2 0.5000 0.5000 0.5000
```


# 3
First-principles (PBE-GGA) data for an optimized crystal structure of SmZrTlZn, as listed in the Alexandria database.

Summary:
Calculated formation energy (meV/atom): -155
Density of states at the Fermi level (states/eV/f.u.): 2.85

Geometry as CIF:
```
data_SmZrTlZn
_chemical_formula_sum 'Sm4 Zr4 Tl4 Zn4'
_cell_length_a 7.2361
_cell_length_b 7.2361
_cell_length_c 7.2361
_cell_angle_alpha 90.00
_cell_angle_beta 90.00
_cell_angle_gamma 90.00
_space_group_name_H-M_alt 'F -4 3 m'
_space_group_IT_number 216
_space_group_name_Hall 'F -4 2 3'
loop_
_atom_site_label
_atom_site_fract_x
_atom_site_fract_y
_atom_site_fract_z
Sm1 0.0000 0.0000 0.0000
Zr1 0.0000 0.0000 0.5000
Tl1 0.2500 0.2500 0.2500
Zn1 0.2500 0.2500 0.7500
```